First-principles (GGA-PBEsol) data for a relaxed structure of RbCuMo2, as listed in the Alexandria database.

Results
magnetization = 0.00 Bohr magnetons per cell
SG = Fm-3m
energy of formation from the pure elements = 2.009 eV per atom

Cell lengths 4.522, 4.522, 4.522 Å; angles 60.00, 60.00, 60.00 degrees
Fractional coordinates of all 4 atoms:
Rb 0.000 0.000 0.000
Cu 0.500 0.500 0.500
Mo 0.250 0.250 0.250
Mo 0.750 0.750 0.750